The following is a DFT calculation (PBE-GGA) of a relaxed NbAlSi3 crystal.

```
NbAlSi3
1.0
4.8845 0.0000 0.0000
0.0000 4.8845 0.0000
0.0000 0.0000 4.8845
Si Al Nb
3 1 1
Direct
0.5000 0.0000 0.0000
0.0000 0.5000 0.0000
0.0000 0.0000 0.5000
0.5000 0.5000 0.5000
0.0000 0.0000 0.0000
```

Properties
Its density of states at the Fermi level is 0.37 states/eV per atom. The value obtained for the distance to the lowest polymorph of the same formula is 0.000 eV per atom.

The following is a DFT calculation (PBE-GGA) of a relaxed Nb10Al3Si3 crystal.

```
Nb10Al3Si3
1.0
4.0050 -1.4565 9.2778
4.1605 4.5658 4.5714
-3.1460 -2.2750 6.5855
Si Nb Al
3 10 3
Direct
0.1653 0.1653 0.8347
0.3360 0.6623 0.3377
0.6623 0.3360 0.6640
0.7228 0.0818 0.9182
0.7734 0.5734 0.4266
0.2236 0.4237 0.5763
0.2518 0.7523 0.7482
0.4237 0.2236 0.7764
0.5734 0.7734 0.2266
0.9216 0.2765 0.7235
0.7523 0.2518 0.2477
0.2765 0.9216 0.0784
0.0818 0.7228 0.2772
0.8353 0.8353 0.1647
0.2502 0.2502 0.2498
0.7502 0.7502 0.7498
```

Properties
Its density of states at the Fermi level is 0.78 states/eV per atom.

The following is a DFT calculation (PBE-GGA) of a relaxed NbAlSi3 crystal.

```
NbAlSi3
1.0
4.6070 0.0000 0.0000
0.0000 4.6070 0.0000
0.0000 0.0000 4.6070
Al Si Nb
1 3 1
Direct
0.0000 0.0000 0.0000
0.0000 0.0000 0.5000
0.5000 0.0000 0.0000
0.0000 0.5000 0.0000
0.5000 0.5000 0.5000
```

Properties
Its density of states at the Fermi level is 1.39 states/eV per atom. The value obtained for the distance to the lowest polymorph of the same formula is 0.552 eV per atom.

For the records above, the corresponding E_form (uncorrected) values read 66 -45 120 kJ/mol of atoms.